# 1
The following is a DFT calculation (PBE) of an optimized crystal structure of Tb3Er8.

Cell and atoms, written as POSCAR:
```
Tb3Er8
1.0
7.078 0.259 0.253
0.438 7.069 0.253
0.438 0.428 7.060
Er Tb
8 3
Direct
0.301 0.154 0.881
0.154 0.881 0.301
0.881 0.301 0.154
0.846 0.119 0.699
0.385 0.385 0.385
0.119 0.699 0.846
0.615 0.615 0.615
0.699 0.846 0.119
0.000 0.500 0.500
0.500 0.000 0.500
0.500 0.500 0.000
```

## Properties
V	31.90	Å³ per atom
Fermi-level density of states	1.230	states/eV per atom
spin magnetization	0.00	μB per formula unit
space-group type	No. 148
energy of formation from the pure elements	0.60	eV per atom

---

# 2
The following is a DFT calculation (PBE) of an optimized crystal structure of Tb7Er.

Cell and atoms, written as POSCAR:
```
Tb7Er
1.0
7.086 0.000 0.000
3.543 6.136 0.000
3.543 2.045 5.785
Tb Er
7 1
Direct
0.500 0.500 0.500
0.500 0.000 0.000
0.000 0.500 0.500
0.000 0.500 0.000
0.000 0.000 0.500
0.500 0.500 0.000
0.500 0.000 0.500
0.000 0.000 0.000
```

## Properties
V	31.44	Å³ per atom
Fermi-level density of states	1.313	states/eV per atom
spin magnetization	0.00	μB per formula unit
space-group type	No. 225
energy of formation from the pure elements	0.02	eV per atom

---

# 3
The following is a DFT calculation (PBE) of an optimized crystal structure of Tb3Er13.

Cell and atoms, written as POSCAR:
```
Tb3Er13
1.0
-1.077 6.908 -1.658
-6.402 0.282 5.330
5.869 2.231 5.482
Er Tb
13 3
Direct
0.500 0.292 0.708
0.250 0.958 0.541
0.750 0.958 0.541
0.000 0.791 0.209
0.750 0.459 0.042
0.500 0.210 0.293
0.000 0.708 0.791
0.750 0.542 0.458
0.250 0.459 0.042
0.000 0.209 0.292
0.500 0.707 0.790
0.250 0.542 0.458
0.500 0.791 0.209
0.000 0.292 0.708
0.749 0.041 0.959
0.251 0.041 0.959
```

## Properties
V	31.01	Å³ per atom
Fermi-level density of states	1.746	states/eV per atom
spin magnetization	0.00	μB per formula unit
distance to the lowest polymorph of the same formula	0	meV/atom
space-group type	No. 38
energy of formation from the pure elements	0.00	eV per atom

---

# 4
The following is a DFT calculation (PBE) of an optimized crystal structure of Tb3Er7.

Cell and atoms, written as POSCAR:
```
Tb3Er7
1.0
-2.237 4.282 1.115
-5.928 -3.490 1.509
5.201 -2.083 7.413
Tb Er
3 7
Direct
0.000 0.000 0.000
0.800 0.400 0.601
0.200 0.600 0.399
0.200 0.100 0.400
0.600 0.300 0.200
0.400 0.200 0.800
0.600 0.800 0.200
0.800 0.900 0.600
0.400 0.700 0.800
0.000 0.500 0.000
```

## Properties
V	30.66	Å³ per atom
Fermi-level density of states	1.202	states/eV per atom
spin magnetization	0.00	μB per formula unit
distance to the lowest polymorph of the same formula	0	meV/atom
space-group type	No. 12
energy of formation from the pure elements	0.02	eV per atom

---

Q: The lowest V belongs to which entry?
A: Tb3Er7

---

Q: Look up the energy of formation from the pure elements of the third one.
A: 0.00 eV per atom